1.
An optimized crystal structure of MnRe2As, computed with PBE.

## Properties
For the total energy, the calculation gives -37.92 eV per cell. The calculation puts the total magnetic moment at 2.24 μB per formula unit. The energy of formation from the pure elements is 0.199 eV/atom.

```
data_MnRe2As
_chemical_formula_sum 'Mn1 Re2 As1'
_cell_length_a 4.3285
_cell_length_b 4.3285
_cell_length_c 3.0054
_cell_angle_alpha 90.00
_cell_angle_beta 90.00
_cell_angle_gamma 90.00
_space_group_name_H-M_alt 'P 4/m m m'
_space_group_IT_number 123
_space_group_name_Hall '-P 4 2'
loop_
_atom_site_label
_atom_site_type_symbol
_atom_site_fract_x
_atom_site_fract_y
_atom_site_fract_z
Mn1 Mn 0.0000 0.0000 0.0000
Re1 Re 0.0000 0.5000 0.5000
As1 As 0.5000 0.5000 0.0000
```

---

2.
An optimized crystal structure of MnRe2As, computed with PBE.

## Properties
For the total energy, the calculation gives -74.17 eV per cell. The calculation puts the total magnetic moment at 2.78 μB per formula unit. The energy of formation from the pure elements is 0.407 eV/atom.

```
data_MnRe2As
_chemical_formula_sum 'Mn2 Re4 As2'
_cell_length_a 2.9910
_cell_length_b 4.6348
_cell_length_c 8.6697
_cell_angle_alpha 90.00
_cell_angle_beta 90.00
_cell_angle_gamma 90.00
_space_group_name_H-M_alt 'C m m 2'
_space_group_IT_number 35
loop_
_space_group_symop_operation_xyz
'x,y,z'
'-x,-y,z'
'-x,y,z'
'x,-y,z'
'x+1/2,y+1/2,z'
'-x+1/2,-y+1/2,z'
'-x+1/2,y+1/2,z'
'x+1/2,-y+1/2,z'
loop_
_atom_site_label
_atom_site_type_symbol
_atom_site_fract_x
_atom_site_fract_y
_atom_site_fract_z
Mn1 Mn 0.0000 0.0000 0.0000
Re1 Re 0.0000 0.0000 0.5058
Re2 Re 0.0000 0.5000 0.7555
As1 As 0.0000 0.5000 0.2347
```

---

3.
An optimized crystal structure of MnRe2As, computed with PBE.

## Properties
For the total energy, the calculation gives -112.64 eV per cell. The calculation puts the total magnetic moment at 1.46 μB per formula unit. The energy of formation from the pure elements is 0.292 eV/atom.

```
data_MnRe2As
_chemical_formula_sum 'Mn3 Re6 As3'
_cell_length_a 2.8255
_cell_length_b 2.8255
_cell_length_c 24.9450
_cell_angle_alpha 90.00
_cell_angle_beta 90.00
_cell_angle_gamma 120.00
_space_group_name_H-M_alt 'R -3 m'
_space_group_IT_number 166
_space_group_name_Hall '-R 3 2"'
loop_
_atom_site_label
_atom_site_type_symbol
_atom_site_fract_x
_atom_site_fract_y
_atom_site_fract_z
Mn1 Mn 0.0000 0.0000 0.0000
Re1 Re 0.0000 0.0000 0.2523
As1 As 0.0000 0.0000 0.5000
```